Here is a relaxed Na3UI2Cl6 crystal from Alexandria via LeMat-Bulk. Energies are from GGA-PBE.

The calculation puts the raw formation energy at -18.2 eV per formula unit.

The structure belongs to space group C2/m (No. 12); the cell edges are 15.3034, 8.6139 and 6.2438 Å and the angles 90.00°, 90.54° and 90.00°. Symmetry generates all atoms from Na at (0.0000, 0.0000, 0.0000), Na at (0.2500, 0.2500, 0.5000), U at (0.0000, 0.5000, 0.5000), I at (0.1788, 0.0000, 0.2049), Cl at (0.0681, 0.2895, 0.7330) and Cl at (0.1389, 0.5000, 0.2787).

Here is a relaxed Ni2GeP crystal from Alexandria via LeMat-Bulk. Energies are from GGA-PBE.

As for the formation energy: -393 meV/atom. The density of states at the Fermi level comes out at 10.553 states/eV/cell.

The structure belongs to space group Pbca (No. 61); the cell edges are 5.0169, 13.8897 and 6.0222 Å and the angles 90.00°, 90.00° and 90.00°. Symmetry generates all atoms from Ni at (0.0047, 0.0500, 0.1983), Ni at (0.0081, 0.6655, 0.7139), Ge at (0.2189, 0.6915, 0.0919) and P at (0.1878, 0.0612, 0.5622).

Here is a relaxed GaSnTe crystal from Alexandria via LeMat-Bulk. Energies are from GGA-PBE.

The calculation puts the raw formation energy at -0.2 eV per formula unit. The density of states at the Fermi level comes out at 1.718 states/eV/cell.

The structure belongs to space group P3m1 (No. 156); the cell edges are 4.1802, 4.1802 and 5.4462 Å and the angles 90.00°, 90.00° and 120.00°. Symmetry generates all atoms from Ga at (0.0000, 0.0000, 0.0000), Sn at (0.3333, 0.6667, 0.6851) and Te at (0.6667, 0.3333, 0.3126).

Here is a relaxed Ce2ErHfAs4 crystal from Alexandria via LeMat-Bulk. Energies are from GGA-PBE.

As for the formation energy: -1346 meV/atom. The density of states at the Fermi level comes out at 11.076 states/eV/cell.

The structure belongs to space group P2/m (No. 10); the cell edges are 7.0608, 4.0737 and 7.0665 Å and the angles 90.00°, 109.38° and 90.00°. Symmetry generates all atoms from Ce at (0.0000, 0.0000, 0.0000), Ce at (0.5000, 0.5000, 0.0000), Er at (0.0000, 0.5000, 0.5000), Hf at (0.5000, 0.0000, 0.5000), As at (0.2537, 0.0000, 0.7355) and As at (0.2642, 0.5000, 0.2695).

Copy entry 2 word for word.
Here is a relaxed Ni2GeP crystal from Alexandria via LeMat-Bulk. Energies are from GGA-PBE.

As for the formation energy: -393 meV/atom. The density of states at the Fermi level comes out at 10.553 states/eV/cell.

The structure belongs to space group Pbca (No. 61); the cell edges are 5.0169, 13.8897 and 6.0222 Å and the angles 90.00°, 90.00° and 90.00°. Symmetry generates all atoms from Ni at (0.0047, 0.0500, 0.1983), Ni at (0.0081, 0.6655, 0.7139), Ge at (0.2189, 0.6915, 0.0919) and P at (0.1878, 0.0612, 0.5622).